Material: K2RbPtF6
Method: DFT, PBE
State: optimized geometry

Calculated volume in Å³/atom: 21.77
E in eV/atom: -4.157
Magnetization in Bohr magnetons per cell: 6.00

Unit cell a=6.5958 b=6.5958 c=34.6667 alpha=90.00 beta=90.00 gamma=120.00
With the nearest neighbours (Å) after each atom.
Space group R-3m (No. 166, hexagonal axes)
Asymmetric unit:
1 K 0.0000 0.0000 0.1484 (multiplicity 6)  3 F 2.68
2 K 0.0000 0.0000 0.2542 (multiplicity 6)  3 F 2.61
3 Rb 0.0000 0.0000 0.4062 (multiplicity 6)  6 F 2.61-2.76
4 Pt 0.0000 0.0000 0.0000 (multiplicity 3)  6 F 1.97
5 Pt 0.0000 0.0000 0.5000 (multiplicity 3)  6 F 2.28
6 F 0.0003 0.5002 0.1305 (multiplicity 18)  1 Pt 2.28
7 F 0.0577 0.5288 0.7007 (multiplicity 18)  1 Pt 1.97